LiCo2GeO6 | PBE+U | relaxed

Computed properties:
For the total energy, the calculation gives -58.54 eV per formula unit. Its space group is R3.

a = 4.883 Å, b = 4.883 Å, c = 5.239 Å
α = 62.22°, β = 62.22°, γ = 60.02°
Site moments in Bohr magnetons follow the coordinates.
Atoms (fractional coordinates):
Li1 0.808 0.808 0.575  0.00
Co1 0.517 0.517 0.449  1.50
Co2 0.014 0.014 0.958  -0.17
Ge1 0.316 0.316 0.051  0.01
O1 0.609 0.236 0.237  -0.02
O2 0.236 0.918 0.237  -0.02
O3 0.918 0.609 0.237  -0.02
O4 0.395 0.721 0.757  -0.09
O5 0.721 0.128 0.757  -0.09
O6 0.128 0.395 0.757  -0.09